! YAl2Ni GGA-PBEsol optimized geometry; values from VASP
&SYSTEM
  ibrav = 0, nat = 8, ntyp = 3
/
ATOMIC_SPECIES
Al 26.98 Al.upf
Ni 58.69 Ni.upf
Y 88.91 Y.upf
CELL_PARAMETERS angstrom
-1.701 3.887 1.963
-2.430 -2.596 3.035
8.173 -0.504 2.512
ATOMIC_POSITIONS crystal
Al 0.565 0.875 0.250
Al 0.685 0.375 0.250
Al 0.125 0.315 0.750
Al 0.625 0.435 0.750
Ni 0.500 0.500 0.000
Ni 0.750 0.250 0.500
Y 0.000 0.000 0.000
Y 0.250 0.750 0.500
! **Volume**: 173 Å³ per cell
! **D(E_F)**: 2.6 states/eV/f.u.
! **Energy**: -5.29 eV/atom